Density functional theory data (PBE+U) for Ti2CoO after structural relaxation.

Computed properties:
**Energy above the most stable polymorph in this dataset**: 629 meV/atom

```
data_Ti2CoO
_chemical_formula_sum 'Ti8 Co4 O4'
_cell_length_a 5.7465
_cell_length_b 5.7465
_cell_length_c 5.7465
_cell_angle_alpha 90.00
_cell_angle_beta 90.00
_cell_angle_gamma 90.00
_symmetry_space_group_name_H-M 'F m -3 m'
_symmetry_Int_Tables_number 225
_symmetry_space_group_name_Hall '-F 4 2 3'
loop_
_atom_site_label
_atom_site_fract_x
_atom_site_fract_y
_atom_site_fract_z
Ti1 0.2500 0.2500 0.2500
Co1 0.0000 0.0000 0.0000
O1 0.0000 0.0000 0.5000
```